Record 1
Ir2Br after structural relaxation. Source: Alexandria, functional PBE-GGA.

```
12
Lattice="8.555 0.000 0.000 0.000 2.835 0.000 -3.916 0.000 11.353" Properties=species:S:1:pos:R:3 pbc="T T T"
Ir 0.000 0.000 0.000
Ir -2.004 1.417 7.736
Ir -2.020 1.417 10.284
Ir -0.101 0.000 9.111
Ir 4.278 1.417 0.000
Ir 2.274 0.000 7.736
Ir 2.258 0.000 10.284
Ir 4.176 1.417 9.111
Br 0.041 0.000 2.417
Br 1.974 1.417 5.661
Br 4.319 1.417 2.417
Br 6.251 0.000 5.661
```

Results
space-group type: Cm
VASP energy: -0.4423 Ry per atom
E above lowest polymorph: 91 meV/atom
formation energy without anion corrections: 0.447 eV per atom
magnetic moment: 0.000 μB per atom

Record 2
CeInGa2 after structural relaxation. Source: Alexandria, functional PBE-GGA.

```
16
Lattice="7.090 0.000 0.000 0.000 7.090 0.000 0.000 0.000 7.090" Properties=species:S:1:pos:R:3 pbc="T T T"
Ce 0.000 0.000 0.000
Ce 0.000 3.545 3.545
Ce 3.545 0.000 3.545
Ce 3.545 3.545 0.000
In 0.000 0.000 3.545
In 0.000 3.545 0.000
In 3.545 0.000 0.000
In 3.545 3.545 3.545
Ga 1.773 1.773 1.773
Ga 1.773 1.773 5.318
Ga 1.773 5.318 1.773
Ga 1.773 5.318 5.318
Ga 5.318 1.773 1.773
Ga 5.318 1.773 5.318
Ga 5.318 5.318 1.773
Ga 5.318 5.318 5.318
```

Results
space-group type: Fm-3m
VASP energy: -0.2955 Ry per atom
E above lowest polymorph: 112 meV/atom
formation energy: -339 meV/atom
magnetic moment: 0.180 μB per atom